Material: K3HfI7
Method: DFT, PBE
State: relaxed

Lattice parameters (Å, degrees): 12.0161 11.2732 9.0046 90.00 124.79 90.00
Space group Cm (No. 8)
Inequivalent atoms, fractional coordinates:
1 K 0.0000 0.0000 0.0000 x2
2 K 0.0097 0.2723 0.5933 x4
3 Hf 0.0545 0.5000 0.1449 x2
4 I 0.1255 0.2534 0.2937 x4
5 I 0.2050 0.5000 0.9911 x2
6 I 0.3503 0.5000 0.5245 x2
7 I 0.3579 0.1615 0.8363 x4
8 I 0.3775 0.0000 0.2628 x2

## Properties
Its uncorrected formation energy is -1.11 eV/atom.